6
Lattice="5.2942 0.0000 0.0000 2.6471 4.5849 0.0000 2.6471 1.5283 4.3227" Properties=species:S:1:pos:R:3 comment="GGA-PBEsol MgSbPt4, optimized geometry" e_form_raw_ev_per_atom=-0.283 volume_a3_per_cell=105 spacegroup=F-43m pbc="T T T"
Pt 5.2942 3.0566 3.7849
Pt 5.2942 4.5873 1.6201
Pt 6.6198 2.2912 1.6201
Pt 3.9685 2.2912 1.6201
Mg 0.0000 0.0000 0.0000
Sb 7.9413 4.5849 3.2420